Record 1
## FeRh2 (PBEsol)

Data for crystalline FeRh2 at its relaxed geometry.

The structure in extended XYZ format:
```
6
Lattice="2.6499 0.0000 0.0000 0.0000 3.6515 0.0000 0.0000 0.0000 7.9293" Properties=species:S:1:pos:R:3 pbc="T T T"
Fe 0.0000 0.0000 1.3072
Fe 0.0000 0.0000 6.6222
Rh 0.0000 0.0000 3.9647
Rh 1.3249 1.8258 0.0000
Rh 1.3249 1.8258 2.5913
Rh 1.3249 1.8258 5.3381
```

Properties
For the formation energy, the calculation gives 0.016 eV per atom. Its symmetry is Pmmm (47). As for the total magnetization: 5.40 μB/cell.

***

Record 2
## FeRh3 (PBEsol)

Data for crystalline FeRh3 at its relaxed geometry.

The structure in extended XYZ format:
```
4
Lattice="2.6680 0.0000 0.0000 0.0000 4.2578 0.0000 0.0000 0.0000 4.5844" Properties=species:S:1:pos:R:3 pbc="T T T"
Fe 0.0000 0.0000 0.0000
Rh 0.0000 2.1289 1.5106
Rh 1.3340 0.0000 2.2638
Rh 1.3340 2.1289 3.8166
```

Properties
For the formation energy, the calculation gives 0.005 eV per atom. Its symmetry is Pmm2 (25). As for the total magnetization: 3.19 μB/cell.